A plane-wave DFT calculation with PBEsol was carried out for an optimized crystal structure of PrGe2.

Cell lengths 4.158, 4.158, 15.706 Å; angles 90.00, 90.00, 90.00 degrees
Space group I4_1/amd (No. 141, origin choice 2)
Symmetry-distinct sites (fractional):
Pr  0.000  0.250  0.375 [4 per cell]
Ge  0.000  0.250  0.794 [8 per cell]

A plane-wave DFT calculation with PBEsol was carried out for an optimized crystal structure of Pr4Ge3.

Cell lengths 9.111, 9.111, 9.111 Å; angles 90.00, 90.00, 90.00 degrees
Space group I-43d (No. 220)
Symmetry-distinct sites (fractional):
Pr  0.067  0.067  0.067 [16 per cell]
Ge  0.000  0.250  0.375 [12 per cell]

A plane-wave DFT calculation with PBEsol was carried out for an optimized crystal structure of Pr5Ge4.

Cell lengths 7.879, 15.085, 7.993 Å; angles 90.00, 90.00, 90.00 degrees
Space group Pnma (No. 62)
Symmetry-distinct sites (fractional):
Pr  0.019  0.101  0.181 [8 per cell]
Pr  0.122  0.615  0.339 [8 per cell]
Pr  0.209  0.250  0.502 [4 per cell]
Ge  0.085  0.250  0.893 [4 per cell]
Ge  0.182  0.750  0.632 [4 per cell]
Ge  0.219  0.044  0.534 [8 per cell]

A plane-wave DFT calculation with PBEsol was carried out for an optimized crystal structure of Pr4Ge7.

Cell lengths 5.971, 13.947, 11.940 Å; angles 90.00, 90.00, 90.00 degrees
Space group C222_1 (No. 20)
Symmetry-distinct sites (fractional):
Pr  0.000  0.004  0.250 [4 per cell]
Pr  0.015  0.500  0.000 [4 per cell]
Pr  0.234  0.255  0.620 [8 per cell]
Ge  0.000  0.439  0.750 [4 per cell]
Ge  0.019  0.088  0.990 [8 per cell]
Ge  0.175  0.351  0.339 [8 per cell]
Ge  0.249  0.328  0.871 [8 per cell]

A plane-wave DFT calculation with PBEsol was carried out for an optimized crystal structure of PrGePt.

Cell lengths 4.439, 14.538, 7.603 Å; angles 90.00, 90.00, 90.00 degrees
Space group Pmmn (No. 59, origin choice 2)
Symmetry-distinct sites (fractional):
Pr  0.250  0.003  0.206 [4 per cell]
Pr  0.250  0.250  0.298 [2 per cell]
Pr  0.250  0.750  0.293 [2 per cell]
Ge  0.250  0.098  0.590 [4 per cell]
Ge  0.250  0.656  0.911 [4 per cell]
Pt  0.250  0.143  0.920 [4 per cell]
Pt  0.250  0.597  0.583 [4 per cell]

A plane-wave DFT calculation with PBEsol was carried out for an optimized crystal structure of PrGe12Pt4.

Cell lengths 8.605, 8.605, 8.605 Å; angles 90.00, 90.00, 90.00 degrees
Space group Im-3 (No. 204)
Symmetry-distinct sites (fractional):
Pr  0.000  0.000  0.000 [2 per cell]
Ge  0.000  0.354  0.151 [24 per cell]
Pt  0.250  0.250  0.250 [8 per cell]

A plane-wave DFT calculation with PBEsol was carried out for an optimized crystal structure of PrGeRh.

Cell lengths 7.343, 4.456, 7.118 Å; angles 90.00, 90.00, 90.00 degrees
Space group Pnma (No. 62)
Symmetry-distinct sites (fractional):
Pr  0.018  0.250  0.177 [4 per cell]
Ge  0.196  0.250  0.609 [4 per cell]
Rh  0.141  0.750  0.429 [4 per cell]

A plane-wave DFT calculation with PBEsol was carried out for an optimized crystal structure of PrGe4Rh6.

Cell lengths 7.1169, 7.1169, 3.8454 Å; angles 90.00, 90.00, 120.00 degrees
Space group P-6m2 (No. 187)
Symmetry-distinct sites (fractional):
Pr  0.0000  0.0000  0.0000 [1 per cell]
Ge  0.1987  0.3975  0.5000 [3 per cell]
Ge  0.6667  0.3333  0.0000 [1 per cell]
Rh  0.0665  0.5332  0.0000 [3 per cell]
Rh  0.4025  0.2013  0.5000 [3 per cell]

A plane-wave DFT calculation with PBEsol was carried out for an optimized crystal structure of Pr2Ge5Rh3.

Cell lengths 10.054, 11.974, 5.990 Å; angles 90.00, 90.00, 90.00 degrees
Space group Ibam (No. 72)
Symmetry-distinct sites (fractional):
Pr  0.231  0.133  0.000 [8 per cell]
Ge  0.000  0.000  0.250 [4 per cell]
Ge  0.000  0.277  0.250 [8 per cell]
Ge  0.160  0.400  0.000 [8 per cell]
Rh  0.000  0.500  0.250 [4 per cell]
Rh  0.106  0.140  0.500 [8 per cell]

A plane-wave DFT calculation with PBEsol was carried out for an optimized crystal structure of PrGeRu.

Cell lengths 4.249, 4.249, 6.904 Å; angles 90.00, 90.00, 90.00 degrees
Space group P4/nmm (No. 129, origin choice 2)
Symmetry-distinct sites (fractional):
Pr  0.250  0.250  0.183 [2 per cell]
Ge  0.250  0.250  0.689 [2 per cell]
Ru  0.250  0.750  0.500 [2 per cell]

A plane-wave DFT calculation with PBEsol was carried out for an optimized crystal structure of Pr3Ge13Ru4.

Cell lengths 9.034, 9.034, 9.034 Å; angles 90.00, 90.00, 90.00 degrees
Space group Pm-3n (No. 223)
Symmetry-distinct sites (fractional):
Pr  0.000  0.250  0.500 [6 per cell]
Ge  0.000  0.000  0.000 [2 per cell]
Ge  0.000  0.295  0.147 [24 per cell]
Ru  0.250  0.250  0.250 [8 per cell]

A plane-wave DFT calculation with PBEsol was carried out for an optimized crystal structure of Pr3Ge2Ru2.

Cell lengths 5.704, 7.895, 13.566 Å; angles 90.00, 90.00, 90.00 degrees
Space group Pbcm (No. 57)
Symmetry-distinct sites (fractional):
Pr  0.127  0.240  0.250 [4 per cell]
Pr  0.351  0.598  0.098 [8 per cell]
Ge  0.115  0.250  0.000 [4 per cell]
Ge  0.362  0.609  0.750 [4 per cell]
Ru  0.145  0.531  0.590 [8 per cell]

| no. | ΔE_f (kJ/mol of atoms) | magnetic moment (μB/f.u.) |
| --- | --- | --- |
| 1 | -65.5 | 0.0 |
| 2 | -79.0 | 0.0 |
| 3 | -79.1 | 0.0 |
| 4 | -75.8 | 0.0 |
| 5 | -104.3 | 0.0 |
| 6 | -41.4 | 0.0 |
| 7 | -86.4 | 0.0 |
| 8 | -74.1 | 0.0 |
| 9 | -83.4 | 0.0 |
| 10 | -63.5 | 0.0 |
| 11 | -45.5 | 0.0 |
| 12 | -56.4 | 0.0 |